(1)
# NaTi2Mo (PBE, optimized geometry)
# **Energy relative to the lowest polymorph listed for this composition**: 0.000 eV/atom
# **ΔE_f**: 0.532 eV per atom
data_NaTi2Mo
_chemical_formula_sum 'Na4 Ti8 Mo4'
_cell_length_a 6.516
_cell_length_b 6.516
_cell_length_c 6.516
_cell_angle_alpha 90.00
_cell_angle_beta 90.00
_cell_angle_gamma 90.00
_symmetry_space_group_name_H-M 'F m -3 m'
_symmetry_Int_Tables_number 225
_symmetry_space_group_name_Hall '-F 4 2 3'
loop_
_atom_site_label
_atom_site_type_symbol
_atom_site_fract_x
_atom_site_fract_y
_atom_site_fract_z
Na1 Na 0.000 0.000 0.000
Ti1 Ti 0.250 0.250 0.250
Mo1 Mo 0.000 0.000 0.500

***

(2)
# NaTi2TlMo (PBE, optimized geometry)
# **ΔE_f**: 1.700 eV per atom
data_NaTi2TlMo
_chemical_formula_sum 'Na1 Ti2 Tl1 Mo1'
_cell_length_a 5.216
_cell_length_b 5.216
_cell_length_c 5.207
_cell_angle_alpha 90.00
_cell_angle_beta 90.00
_cell_angle_gamma 90.00
_symmetry_space_group_name_H-M 'P 4/m m m'
_symmetry_Int_Tables_number 123
_symmetry_space_group_name_Hall '-P 4 2'
loop_
_atom_site_label
_atom_site_type_symbol
_atom_site_fract_x
_atom_site_fract_y
_atom_site_fract_z
Na1 Na 0.000 0.000 0.000
Ti1 Ti 0.000 0.500 0.500
Tl1 Tl 0.500 0.500 0.500
Mo1 Mo 0.500 0.500 0.000

***

(3)
# NaTl3Mo (PBE, optimized geometry)
# **Energy relative to the lowest polymorph listed for this composition**: 0.000 eV/atom
# **ΔE_f**: 0.414 eV per atom
data_NaTl3Mo
_chemical_formula_sum 'Na1 Tl3 Mo1'
_cell_length_a 5.410
_cell_length_b 5.410
_cell_length_c 5.410
_cell_angle_alpha 90.00
_cell_angle_beta 90.00
_cell_angle_gamma 90.00
_symmetry_space_group_name_H-M 'P m -3 m'
_symmetry_Int_Tables_number 221
_symmetry_space_group_name_Hall '-P 4 2 3'
loop_
_atom_site_label
_atom_site_type_symbol
_atom_site_fract_x
_atom_site_fract_y
_atom_site_fract_z
Na1 Na 0.000 0.000 0.000
Tl1 Tl 0.000 0.500 0.500
Mo1 Mo 0.500 0.500 0.500

***

> What is the ΔE_f in the second record?

1.700 eV per atom